(1)
Here is a PBEsol-optimized structure of Na2Ti3O7 from the Alexandria database. Energies are from SCAN.

Lattice parameters (Å, degrees): 3.7894 8.5608 9.1101 101.80 90.00 90.00
Closest atoms and distances in Å follow each position.
Fractional positions:
Ti  0.2500  0.7510  0.3223  1 O 1.73
Na  0.2500  0.3184  0.4153  3 O 2.24-2.49
Ti  0.2500  0.8541  0.0148  4 O 1.81-1.97
O  0.2500  0.7816  0.8113  2 Ti 1.83-1.96
Ti  0.2500  0.9699  0.7200  4 O 1.77-1.96
O  0.7500  0.3250  0.9090  1 Ti 1.81
Ti  0.7500  0.1459  0.9852  4 O 1.81-1.97
O  0.2500  0.8523  0.5359  2 Ti 1.77-1.96
O  0.2500  0.9849  0.2459  3 Ti 1.95-2.17
O  0.2500  0.1970  0.6840  3 Ti 1.95-2.04
O  0.7500  0.8030  0.3160  3 Ti 1.95-2.04
O  0.7500  0.2184  0.1887  2 Ti 1.83-1.96
Ti  0.7500  0.2490  0.6777  1 O 1.73
O  0.2500  0.6750  0.0910  1 Ti 1.81
Na  0.7500  0.4973  0.1598  7 O 2.45-2.71
Na  0.7500  0.6816  0.5847  3 O 2.24-2.49
O  0.7500  0.9147  0.0431  4 Ti 1.97-2.18
Na  0.2500  0.5027  0.8402  7 O 2.45-2.71
O  0.2500  0.5556  0.3470  1 Ti 1.73
Ti  0.7500  0.0301  0.2800  4 O 1.77-1.96
O  0.2500  0.0853  0.9569  4 Ti 1.97-2.18
O  0.7500  0.1477  0.4641  2 Ti 1.77-1.96
O  0.7500  0.4444  0.6530  1 Ti 1.73
O  0.7500  0.0151  0.7541  3 Ti 1.95-2.17

Summary:
Formation energy from raw total energies, eV/f.u.: -36.28
Crystal system: monoclinic
Size of the total moment, Bohr magnetons per cell: 0.00
Uncorrected energy, eV/f.u.: -136.41
Space-group type: P2_1/m (11)

(2)
Here is a PBEsol-optimized structure of Na5Ti12O24 from the Alexandria database. Energies are from SCAN.

Lattice parameters (Å, degrees): 5.4041 8.8520 9.3881 90.00 90.13 90.00
Closest atoms and distances in Å follow each position.
Fractional positions:
O  0.1788  0.1712  0.9565  3 Ti 1.95-2.04
O  0.7647  0.1631  0.7909  3 Ti 1.98-2.00
O  0.7647  0.8369  0.7909  3 Ti 1.98-2.00
Ti  0.9892  0.3277  0.8595  6 O 1.95-2.07
O  0.8240  0.6712  0.0514  3 Ti 1.93-2.04
O  0.8486  0.0000  0.0550  3 Ti 1.96-2.03, 1 Na 2.11
Ti  0.5166  0.3295  0.3579  6 O 1.99-2.04
O  0.7574  0.1668  0.3001  3 Ti 2.02-2.03
Ti  0.4930  0.1692  0.6490  6 O 1.95-2.04
O  0.6649  0.3338  0.5535  3 Ti 1.95-2.00, 1 Na 2.10
Ti  0.5166  0.6705  0.3579  6 O 1.99-2.04
Ti  0.9941  0.0000  0.8563  6 O 1.96-2.04
O  0.2712  0.0000  0.7212  3 Ti 1.96-2.04
O  0.3302  0.8339  0.4559  3 Ti 1.99-2.03, 2 Na 2.21
Ti  0.0115  0.5000  0.1489  6 O 1.98-2.04
O  0.7582  0.5000  0.7930  3 Ti 1.96-2.07
Ti  0.0149  0.8272  0.1438  6 O 1.93-2.08
O  0.7574  0.8332  0.3001  3 Ti 2.02-2.03
Na  0.4790  0.0000  0.9814  3 O 2.11-2.23
O  0.6621  0.0000  0.5545  3 Ti 1.97-2.04, 1 Na 2.12
O  0.7432  0.5000  0.2918  3 Ti 1.98-2.04
Na  0.5279  0.5000  0.0167  3 O 2.11-2.23
Ti  0.5167  0.0000  0.3537  6 O 1.95-2.04
O  0.2565  0.3327  0.7129  3 Ti 2.00-2.02
O  0.3302  0.1661  0.4559  3 Ti 1.99-2.03, 2 Na 2.21
Ti  0.9892  0.6723  0.8595  6 O 1.95-2.07
O  0.6649  0.6662  0.5535  3 Ti 1.95-2.00, 1 Na 2.10
Ti  0.4930  0.8308  0.6490  6 O 1.95-2.04
O  0.2443  0.0000  0.2165  3 Ti 1.95-2.08
Ti  0.4884  0.5000  0.6532  6 O 1.96-2.03
O  0.3348  0.5000  0.4557  3 Ti 2.02-2.03, 2 Na 2.21
Na  0.0248  0.0000  0.4675  3 O 2.12-2.21
Ti  0.0149  0.1728  0.1438  6 O 1.93-2.08
O  0.1533  0.5000  0.9536  3 Ti 1.97-1.99, 1 Na 2.11
O  0.2358  0.3370  0.2207  3 Ti 1.99-2.01
Na  0.0311  0.6660  0.4785  3 O 2.10-2.21
O  0.2565  0.6673  0.7129  3 Ti 2.00-2.02
Na  0.0311  0.3340  0.4785  3 O 2.10-2.21
O  0.1788  0.8288  0.9565  3 Ti 1.95-2.04
O  0.8240  0.3288  0.0514  3 Ti 1.93-2.04
O  0.2358  0.6630  0.2207  3 Ti 1.99-2.01

Summary:
Formation energy from raw total energies, eV/f.u.: -123.83
Crystal system: monoclinic
Size of the total moment, Bohr magnetons per cell: 5.06
Uncorrected energy, eV/f.u.: -486.81
Space-group type: Pm (6)

(3)
Here is a PBEsol-optimized structure of NaTlO from the Alexandria database. Energies are from SCAN.

Lattice parameters (Å, degrees): 3.5135 6.0655 11.8571 70.02 90.00 90.00
Closest atoms and distances in Å follow each position.
Fractional positions:
Tl  0.0000  0.2417  0.1066  3 O 2.30-2.43
O  0.0000  0.9848  0.0021  5 Na 2.25-2.33, 1 Tl 2.30
Na  0.0000  0.7265  0.9004  3 O 2.28-2.29
Tl  0.5000  0.9482  0.3610  3 O 2.61-2.89
O  0.5000  0.4810  0.9831  4 Na 2.26-2.40, 2 Tl 2.43
Tl  0.0000  0.4512  0.3818  3 O 2.42-2.53
Na  0.0000  0.6367  0.5959  3 O 2.27-2.31
Na  0.5000  0.1943  0.9017  3 O 2.25-2.26
Na  0.5000  0.7394  0.0976  3 O 2.33-2.40
O  0.5000  0.4751  0.5303  2 Na 2.27, 3 Tl 2.28-2.53
O  0.0000  0.0390  0.5024  1 Na 2.31, 3 Tl 2.42-2.45
Tl  0.5000  0.0822  0.6370  3 O 2.28-2.45

Summary:
Formation energy from raw total energies, eV/f.u.: -3.03
Crystal system: monoclinic
Distance to the lowest polymorph of the same formula, eV/atom: 0.055
Size of the total moment, Bohr magnetons per cell: 0.00
Uncorrected energy, eV/f.u.: -85.83
Space-group type: Pm (6)

(4)
Here is a PBEsol-optimized structure of NaTlO from the Alexandria database. Energies are from SCAN.

Lattice parameters (Å, degrees): 3.4642 3.4642 11.4050 90.00 90.00 120.00
Closest atoms and distances in Å follow each position.
Fractional positions:
Na  0.3333  0.6667  0.1073  3 O 2.30
Na  0.6667  0.3333  0.6073  3 O 2.30
Tl  0.6667  0.3333  0.8842  3 O 2.45
Tl  0.3333  0.6667  0.3842  3 O 2.45
O  0.0000  0.0000  0.0085  3 Na 2.30, 3 Tl 2.45
O  0.0000  0.0000  0.5085  3 Na 2.30, 3 Tl 2.45

Summary:
Formation energy from raw total energies, eV/f.u.: -3.19
Crystal system: hexagonal
Distance to the lowest polymorph of the same formula, eV/atom: 0.000
Size of the total moment, Bohr magnetons per cell: 0.00
Uncorrected energy, eV/f.u.: -85.99
Space-group type: P6_3mc (186)

(5)
Here is a PBEsol-optimized structure of NaTmO2 from the Alexandria database. Energies are from SCAN.

Lattice parameters (Å, degrees): 5.7988 5.9413 7.2419 104.92 104.11 112.43
Closest atoms and distances in Å follow each position.
Fractional positions:
O  0.3324  0.0409  0.6239  3 Tm 2.24-2.26, 2 Na 2.36-2.38
O  0.5601  0.2667  0.1270  3 Tm 2.23-2.24, 2 Na 2.36-2.38
O  0.6676  0.9591  0.3761  3 Tm 2.24-2.26, 2 Na 2.36-2.38
O  0.2084  0.4170  0.3761  3 Tm 2.24-2.26, 2 Na 2.36-2.38
Tm  0.4434  0.1934  0.3868  6 O 2.24-2.25
Tm  0.8172  0.0672  0.1344  6 O 2.23-2.26
Na  0.0698  0.3198  0.6397  4 O 2.36
O  0.9331  0.1397  0.8730  3 Tm 2.23-2.24, 2 Na 2.36-2.38
O  0.7916  0.5830  0.6239  3 Tm 2.24-2.26, 2 Na 2.36-2.38
Na  0.6943  0.4443  0.8885  6 O 2.38-2.66
Na  0.9302  0.6802  0.3603  4 O 2.36
O  0.4399  0.7333  0.8730  3 Tm 2.23-2.24, 2 Na 2.36-2.38
Tm  0.1828  0.9328  0.8656  6 O 2.23-2.26
Na  0.3057  0.5557  0.1115  6 O 2.38-2.66
O  0.0669  0.8603  0.1270  3 Tm 2.23-2.24, 2 Na 2.36-2.38
Tm  0.5566  0.8066  0.6132  6 O 2.24-2.25

Summary:
Formation energy from raw total energies, eV/f.u.: -12.67
Crystal system: monoclinic
Distance to the lowest polymorph of the same formula, eV/atom: 0.000
Size of the total moment, Bohr magnetons per cell: 0.00
Uncorrected energy, eV/f.u.: -81.18
Space-group type: C2/c (15)

(6)
Here is a PBEsol-optimized structure of NaTmO2 from the Alexandria database. Energies are from SCAN.

Lattice parameters (Å, degrees): 4.5112 4.5112 5.9465 112.29 112.29 90.00
Closest atoms and distances in Å follow each position.
Fractional positions:
Na  0.5000  0.5000  0.0000  4 O 2.27
Tm  0.0000  0.0000  0.0000  6 O 2.23-2.27
Tm  0.2500  0.7500  0.5000  6 O 2.23-2.27
Na  0.7500  0.2500  0.5000  4 O 2.27
O  0.4717  0.9717  0.9434  3 Tm 2.23-2.27, 2 Na 2.27
O  0.0283  0.5283  0.0566  3 Tm 2.23-2.27, 2 Na 2.27
O  0.2217  0.2217  0.4434  3 Tm 2.23-2.27, 2 Na 2.27
O  0.7783  0.7783  0.5566  3 Tm 2.23-2.27, 2 Na 2.27

Summary:
Formation energy from raw total energies, eV/f.u.: -12.62
Crystal system: tetragonal
Distance to the lowest polymorph of the same formula, eV/atom: 0.013
Size of the total moment, Bohr magnetons per cell: 0.00
Uncorrected energy, eV/f.u.: -81.13
Space-group type: I4_1/amd (141)

(7)
Here is a PBEsol-optimized structure of NaTmO2 from the Alexandria database. Energies are from SCAN.

Lattice parameters (Å, degrees): 3.3259 3.3259 5.8097 73.37 73.37 60.00
Closest atoms and distances in Å follow each position.
Fractional positions:
Tm  0.0000  0.0000  0.0000  6 O 2.24
Na  0.5000  0.5000  0.5000  6 O 2.50
O  0.2636  0.2636  0.2091  3 Tm 2.24, 3 Na 2.50
O  0.7364  0.7364  0.7909  3 Tm 2.24, 3 Na 2.50

Summary:
Formation energy from raw total energies, eV/f.u.: -12.67
Crystal system: trigonal
Distance to the lowest polymorph of the same formula, eV/atom: 0.001
Size of the total moment, Bohr magnetons per cell: 0.00
Uncorrected energy, eV/f.u.: -81.18
Space-group type: R-3m (166)

(8)
Here is a PBEsol-optimized structure of Na4UO5 from the Alexandria database. Energies are from SCAN.

Lattice parameters (Å, degrees): 4.5964 5.8148 5.8148 81.01 66.72 66.72
Closest atoms and distances in Å follow each position.
Fractional positions:
O  0.0782  0.1779  0.6657  1 U 2.02
O  0.9218  0.8221  0.3343  1 U 2.02
O  0.5000  0.0000  0.0000  2 U 2.30, 4 Na 2.42
O  0.7439  0.3343  0.1779  1 U 2.02
Na  0.1957  0.4037  0.2048  5 O 2.33-2.48
Na  0.5994  0.2048  0.5963  5 O 2.33-2.48
U  0.0000  0.0000  0.0000  4 O 2.02
Na  0.4006  0.7952  0.4037  5 O 2.33-2.48
O  0.2561  0.6657  0.8221  1 U 2.02
Na  0.8043  0.5963  0.7952  5 O 2.33-2.48

Summary:
Formation energy from raw total energies, eV/f.u.: -25.42
Crystal system: tetragonal
Size of the total moment, Bohr magnetons per cell: 0.00
Uncorrected energy, eV/f.u.: -176.97
Space-group type: I4/m (87)

Which of these has the highest uncorrected energy? number 6

Which formula does entry 4 have? NaTlO

Among the records above, which one has the highest formation energy from raw total energies? number 3